Compound: Ga2BiPb
Source: Alexandria via LeMat-Bulk
Functional: meta-GGA SCAN
Structure: single point on PBEsol structure

```
Ga2BiPb
1.0
-1.0882 -5.0252 -0.5274
0.6477 -2.3183 -4.5739
3.8228 -3.4180 -0.6465
Ga Pb Bi
2 1 1
Direct
0.7500 0.7500 0.7500 Ga
0.2500 0.2500 0.2500 Ga
0.0000 0.0000 0.0000 Pb
0.5000 0.5000 0.5000 Bi
```

## Properties
**DFT formation energy**: 0.1996 eV/atom
**Uncorrected energy**: -186.26 eV/f.u.
**DOS at the Fermi energy**: 0.501 states/eV/atom

Compound: GaBiTePb2
Source: Alexandria via LeMat-Bulk
Functional: meta-GGA SCAN
Structure: single point on PBEsol structure

```
GaBiTePb2
1.0
5.1103 0.0000 0.0000
0.0000 5.9284 0.0000
0.0000 0.0000 5.9284
Pb Te Ga Bi
2 1 1 1
Direct
0.0000 0.0000 0.5000 Pb
0.0000 0.5000 0.0000 Pb
0.0000 0.0000 0.0000 Te
0.5000 0.0000 0.0000 Ga
0.5000 0.5000 0.5000 Bi
```

## Properties
**Uncorrected energy**: -281.35 eV/f.u.
**DOS at the Fermi energy**: 0.350 states/eV/atom
**ΔE_f (raw)**: 0.4785 eV per atom

Compound: Ga2BiPd2
Source: Alexandria via LeMat-Bulk
Functional: meta-GGA SCAN
Structure: single point on PBEsol structure

```
Ga2BiPd2
1.0
4.2327 0.0000 0.0000
0.0000 4.2327 0.0000
-2.1163 -2.1163 5.1227
Bi Pd Ga
1 2 2
Direct
0.0000 0.0000 0.0000 Bi
0.7500 0.2500 0.5000 Pd
0.2500 0.7500 0.5000 Pd
0.3800 0.3800 0.7601 Ga
0.6200 0.6200 0.2399 Ga
```

## Properties
**DFT formation energy**: -0.2898 eV/atom
**Uncorrected energy**: -178.27 eV/f.u.
**DOS at the Fermi energy**: 0.251 states/eV/atom

Look up the DOS at the Fermi energy of the second one. 0.350 states/eV/atom

Look up the uncorrected energy of the third one. -178.27 eV/f.u.